# 1
## BaSnPb2Br (PBEsol)

Data for a relaxed BaSnPb2Br crystal.

Unit cell a=6.3579 b=6.3579 c=5.7523 alpha=90.00 beta=90.00 gamma=90.00
With the nearest neighbours (Å) after each atom.
Fractional coordinates of all 5 atoms:
1 Ba 0.0000 0.0000 0.0000  2 Br 2.88, 4 Pb 3.18
2 Sn 0.5000 0.5000 0.5000  8 Pb 4.29, 4 Br 4.50
3 Pb 0.0000 0.5000 0.0000  2 Ba 3.18
4 Pb 0.5000 0.0000 0.0000  2 Ba 3.18
5 Br 0.0000 0.0000 0.5000  2 Ba 2.88



# 2
## BaPd3Br (PBEsol)

Data for a relaxed BaPd3Br crystal.

Unit cell a=5.2807 b=5.2807 c=5.2807 alpha=90.00 beta=90.00 gamma=90.00
With the nearest neighbours (Å) after each atom.
Fractional coordinates of all 5 atoms:
1 Ba 0.0000 0.0000 0.0000  6 Pd 2.64
2 Pd 0.0000 0.0000 0.5000  2 Ba 2.64
3 Pd 0.0000 0.5000 0.0000  2 Ba 2.64
4 Pd 0.5000 0.0000 0.0000  2 Ba 2.64
5 Br 0.5000 0.5000 0.5000  12 Pd 3.73



# 3
## Rb2BaBr4 (PBEsol)

Data for a relaxed Rb2BaBr4 crystal.

Unit cell a=8.5877 b=8.5877 c=8.5877 alpha=109.79 beta=109.79 gamma=108.83
With the nearest neighbours (Å) after each atom.
Fractional coordinates of all 14 atoms:
1 Rb 0.3750 0.2406 0.3656  8 Br 3.33-3.58
2 Rb 0.7594 0.1250 0.1344  8 Br 3.33-3.58
3 Rb 0.8750 0.0094 0.6344  8 Br 3.33-3.58
4 Rb 0.9906 0.6250 0.8656  8 Br 3.33-3.58
5 Ba 0.2500 0.7500 0.5000  8 Br 3.27-3.47
6 Ba 0.5000 0.5000 0.0000  8 Br 3.27-3.47
7 Br 0.1387 0.3896 0.6087  2 Ba 3.27-3.47, 4 Rb 3.33-3.58, 1 Br 3.59
8 Br 0.1396 0.3887 0.1087  2 Ba 3.27-3.47, 4 Rb 3.33-3.58, 1 Br 3.59
9 Br 0.2800 0.0309 0.8913  2 Ba 3.27-3.47, 4 Rb 3.33-3.58, 1 Br 3.59
10 Br 0.4700 0.8613 0.2509  2 Ba 3.27-3.47, 4 Rb 3.33-3.58, 1 Br 3.59
11 Br 0.6104 0.2191 0.7491  2 Ba 3.27-3.47, 4 Rb 3.33-3.58, 1 Br 3.59
12 Br 0.6113 0.7200 0.7509  2 Ba 3.27-3.47, 4 Rb 3.33-3.58, 1 Br 3.59
13 Br 0.7809 0.5300 0.3913  2 Ba 3.27-3.47, 4 Rb 3.33-3.58, 1 Br 3.59
14 Br 0.9691 0.8604 0.2491  2 Ba 3.27-3.47, 4 Rb 3.33-3.58, 1 Br 3.59



# 4
## Rb2BaZrBr (PBEsol)

Data for a relaxed Rb2BaZrBr crystal.

Unit cell a=6.5794 b=6.5794 c=5.3570 alpha=90.00 beta=90.00 gamma=90.00
With the nearest neighbours (Å) after each atom.
Fractional coordinates of all 5 atoms:
1 Rb 0.0000 0.5000 0.0000  2 Br 3.29
2 Rb 0.5000 0.0000 0.0000  2 Br 3.29
3 Ba 0.0000 0.0000 0.5000  8 Rb 4.24, 4 Zr 4.65
4 Zr 0.5000 0.5000 0.5000  2 Br 2.68
5 Br 0.5000 0.5000 0.0000  2 Zr 2.68



# 5
## BaReBr2 (PBEsol)

Data for a relaxed BaReBr2 crystal.

Unit cell a=6.1489 b=6.1489 c=4.9390 alpha=107.24 beta=107.24 gamma=43.10
With the nearest neighbours (Å) after each atom.
Fractional coordinates of all 4 atoms:
1 Ba 0.0000 0.0000 0.0000  7 Br 3.34-3.46, 3 Re 3.46-3.59
2 Re 0.7289 0.7289 0.4286  3 Br 2.72-2.84
3 Br 0.2619 0.2619 0.7931  2 Re 2.84
4 Br 0.5039 0.5039 0.5052  1 Re 2.72



# 6
## Ba2RhBr (PBEsol)

Data for a relaxed Ba2RhBr crystal.

Unit cell a=3.7796 b=3.7796 c=8.2343 alpha=90.00 beta=90.00 gamma=90.00
With the nearest neighbours (Å) after each atom.
Fractional coordinates of all 4 atoms:
1 Ba 0.0000 0.0000 0.2179  4 Rh 3.22, 4 Br 3.54, 1 Ba 3.59
2 Ba 0.0000 0.0000 0.7821  4 Rh 3.22, 4 Br 3.54, 1 Ba 3.59
3 Rh 0.5000 0.5000 0.0000  8 Ba 3.22
4 Br 0.5000 0.5000 0.5000  8 Ba 3.54, 4 Br 3.78

Energy above the lowest structure with this stoichiometry = 0.0 meV per atom



# 7
## BaRh2Br (PBEsol)

Data for a relaxed BaRh2Br crystal.

Unit cell a=4.6313 b=4.3757 c=4.8861 alpha=90.00 beta=94.49 gamma=90.00
With the nearest neighbours (Å) after each atom.
Fractional coordinates of all 4 atoms:
1 Ba 0.0000 0.0000 0.0000  4 Br 3.23-3.50, 8 Rh 3.27-3.55
2 Rh 0.4354 0.5000 0.7524  2 Rh 2.45-2.58, 2 Br 2.54
3 Rh 0.5646 0.5000 0.2476  2 Rh 2.45-2.58, 2 Br 2.54
4 Br 0.5000 0.0000 0.5000  4 Rh 2.54

Energy above the lowest structure with this stoichiometry = 8.2 meV per atom



# 8
## Ba2RhBr (PBEsol)

Data for a relaxed Ba2RhBr crystal.

Unit cell a=8.4666 b=8.4666 c=8.4666 alpha=30.29 beta=30.29 gamma=30.29
With the nearest neighbours (Å) after each atom.
Fractional coordinates of all 4 atoms:
1 Ba 0.0000 0.0000 0.0000  3 Rh 3.05
2 Ba 0.1933 0.1933 0.1933  3 Rh 3.08
3 Rh 0.5975 0.5975 0.5975  6 Ba 3.05-3.08
4 Br 0.4298 0.4298 0.4298  6 Ba 3.46-3.47

Energy above the lowest structure with this stoichiometry = 16.2 meV per atom



# 9
## Ba2RhBr (PBEsol)

Data for a relaxed Ba2RhBr crystal.

Unit cell a=4.5771 b=4.5771 c=6.4001 alpha=90.00 beta=90.00 gamma=90.00
With the nearest neighbours (Å) after each atom.
Fractional coordinates of all 4 atoms:
1 Ba 0.0000 0.0000 0.0000  2 Br 3.19-3.21, 4 Rh 3.24
2 Ba 0.5000 0.5000 0.4570  1 Rh 2.73
3 Rh 0.5000 0.5000 0.0307  1 Ba 2.73
4 Br 0.0000 0.0000 0.5023  6 Ba 3.19-3.25

Energy above the lowest structure with this stoichiometry = 66.0 meV per atom



# 10
## BaRh2Br (PBEsol)

Data for a relaxed BaRh2Br crystal.

Unit cell a=5.5958 b=5.5958 c=5.5958 alpha=140.29 beta=117.72 gamma=76.45
With the nearest neighbours (Å) after each atom.
Fractional coordinates of all 4 atoms:
1 Ba 0.0000 0.0000 0.0000  8 Rh 3.27-3.46, 4 Br 3.33-3.34
2 Rh 0.3269 0.8269 0.5000  2 Rh 2.41
3 Rh 0.4954 0.4954 0.0000  2 Rh 2.41, 2 Br 2.54
4 Br 0.6875 0.1875 0.5000  2 Rh 2.54

Energy above the lowest structure with this stoichiometry = 0.0 meV per atom



# 11
## Ba2RhBr (PBEsol)

Data for a relaxed Ba2RhBr crystal.

Unit cell a=8.3051 b=8.3051 c=8.3051 alpha=31.32 beta=31.32 gamma=31.32
With the nearest neighbours (Å) after each atom.
Fractional coordinates of all 4 atoms:
1 Ba 0.2370 0.2370 0.2370  3 Rh 3.08
2 Ba 0.7630 0.7630 0.7630  3 Rh 3.08
3 Rh 0.5000 0.5000 0.5000  6 Ba 3.08
4 Br 0.0000 0.0000 0.0000  6 Ba 3.45

Energy above the lowest structure with this stoichiometry = 2.3 meV per atom



# 12
## Ba2RhBr (PBEsol)

Data for a relaxed Ba2RhBr crystal.

Unit cell a=6.5552 b=6.5552 c=6.5552 alpha=140.21 beta=140.21 gamma=57.53
With the nearest neighbours (Å) after each atom.
Fractional coordinates of all 4 atoms:
1 Ba 0.0000 0.0000 0.0000  4 Br 3.15
2 Ba 0.7500 0.2500 0.5000  4 Rh 3.15
3 Rh 0.2500 0.7500 0.5000  4 Ba 3.15
4 Br 0.5000 0.5000 0.0000  4 Ba 3.15

Energy above the lowest structure with this stoichiometry = 313.3 meV per atom



Taking the records one at a time from the top gives formation energy without anion corrections values of 449; 1008; -1930; 206; 311; -839; 30; -822; -773; 22; -836; -525 meV/atom.
Taking the records one at a time from the top gives final energy values of -2.81; -3.37; -3.60; -2.83; -4.49; -4.42; -5.04; -4.40; -4.35; -5.05; -4.41; -4.10 eV/atom.
Taking the records one at a time from the top gives density of states at the Fermi level values of 6.51; 2.28; 0.00; 6.20; 0.63; 1.06; 3.46; 1.46; 0.84; 3.08; 1.36; 1.16 states/eV per cell.